DFT (PBE-GGA) results for an optimized crystal structure of MgF2.

Cell lengths 3.925, 3.925, 5.611 Å; angles 110.36, 110.36, 89.98 degrees
Positions (direct):
Mg (0.126, 0.874, 0.750)
Mg (0.874, 0.126, 0.250)
F (0.086, 0.334, 0.669)
F (0.334, 0.086, 0.169)
F (0.666, 0.914, 0.831)
F (0.914, 0.666, 0.331)

Values from the calculation:
raw total energy = -0.195 Ha/atom
crystal system = monoclinic
space group = No. 15

=====

DFT (PBE-GGA) results for an optimized crystal structure of PmGdAlIn.

Cell lengths 5.301, 5.301, 5.301 Å; angles 60.00, 60.00, 60.00 degrees
Positions (direct):
Pm (0.000, 0.000, 0.000)
Gd (0.500, 0.500, 0.500)
Al (0.750, 0.750, 0.750)
In (0.250, 0.250, 0.250)

Values from the calculation:
crystal system = cubic
DFT formation energy = -0.42 eV/atom
space group = No. 216

=====

DFT (PBE-GGA) results for an optimized crystal structure of Co2PtW.

Cell lengths 4.260, 4.260, 4.260 Å; angles 60.00, 60.00, 60.00 degrees
Positions (direct):
Co (0.000, 0.000, 0.000)
Co (0.250, 0.250, 0.250)
Pt (0.500, 0.500, 0.500)
W (0.750, 0.750, 0.750)

Values from the calculation:
crystal system = cubic
DFT formation energy = 0.19 eV/atom
space group = No. 216

=====

DFT (PBE-GGA) results for an optimized crystal structure of CaTc3Ru.

Cell lengths 4.721, 4.721, 4.721 Å; angles 90.00, 90.00, 90.00 degrees
Positions (direct):
Ca (0.000, 0.000, 0.000)
Tc (0.000, 0.500, 0.500)
Tc (0.500, 0.000, 0.500)
Tc (0.500, 0.500, 0.000)
Ru (0.500, 0.500, 0.500)

Values from the calculation:
crystal system = cubic
DFT formation energy = 1.23 eV/atom
space group = No. 221

=====

DFT (PBE-GGA) results for an optimized crystal structure of Zn2SiNi.

Cell lengths 4.683, 4.683, 4.683 Å; angles 133.94, 133.94, 67.18 degrees
Positions (direct):
Zn (0.250, 0.750, 0.500)
Zn (0.750, 0.250, 0.500)
Si (0.000, 0.000, 0.000)
Ni (0.500, 0.500, 0.000)

Values from the calculation:
raw total energy = -0.128 Ha/atom
crystal system = tetragonal
space group = No. 139

=====

DFT (PBE-GGA) results for an optimized crystal structure of Ti2Nb3Co.

Cell lengths 2.968, 5.565, 12.556 Å; angles 97.08, 92.20, 105.23 degrees
Positions (direct):
Ti (0.091, 0.142, 0.134)
Ti (0.191, 0.835, 0.424)
Ti (0.809, 0.165, 0.576)
Ti (0.909, 0.858, 0.866)
Nb (0.202, 0.413, 0.776)
Nb (0.248, 0.349, 0.397)
Nb (0.371, 0.715, 0.041)
Nb (0.629, 0.285, 0.959)
Nb (0.752, 0.651, 0.603)
Nb (0.798, 0.587, 0.224)
Co (0.438, 0.985, 0.730)
Co (0.562, 0.015, 0.270)

Values from the calculation:
crystal system = triclinic
DFT formation energy = -0.03 eV/atom
space group = No. 2